(1)
## Te2WAu (GGA-PBEsol)

Data for a relaxed structure of Te2WAu.

Results
relative energy among the computed polymorphs = 0.010 eV/atom
DFT total energy = -5.833 eV/atom
formation energy (no corrections) = 362 meV per atom

a b c (Å): 3.9914 3.9914 6.0665
angles (deg): 90.00 90.00 90.00
With the nearest neighbours (Å) after each atom.
Fractional coordinates of all 4 atoms:
W: 0.5000 0.5000 0.5000  4 Te 2.75, 4 Au 2.82
Au: 0.0000 0.0000 0.5000  4 Te 2.75, 4 W 2.82
Te: 0.5000 0.0000 0.8113  2 W 2.75, 2 Au 2.75
Te: 0.0000 0.5000 0.1887  2 Au 2.75, 2 W 2.75

(2)
## YTe2Au (GGA-PBEsol)

Data for a relaxed structure of YTe2Au.

Results
DFT total energy = -5.169 eV/atom
formation energy (no corrections) = -720 meV per atom

a b c (Å): 4.4538 4.4538 8.7426
angles (deg): 75.24 75.24 60.00
With the nearest neighbours (Å) after each atom.
Fractional coordinates of all 4 atoms:
Te: 0.1015 0.1015 0.6954  1 Au 2.55
Au: 0.0000 0.0000 0.0000  2 Te 2.55
Te: 0.8985 0.8985 0.3046  1 Au 2.55
Y: 0.5000 0.5000 0.5000  6 Te 3.05

(3)
## YTe2Au (GGA-PBEsol)

Data for a relaxed structure of YTe2Au.

Results
DFT total energy = -5.266 eV/atom
formation energy (no corrections) = -816 meV per atom

a b c (Å): 4.0414 4.0414 6.2834
angles (deg): 90.00 90.00 90.00
With the nearest neighbours (Å) after each atom.
Fractional coordinates of all 4 atoms:
Te: 0.0000 0.0000 0.9306  1 Y 2.87, 4 Au 3.03
Y: 0.0000 0.0000 0.4746  5 Te 2.87-3.01
Au: 0.5000 0.5000 0.7686  5 Te 2.78-3.03
Te: 0.5000 0.5000 0.3262  1 Au 2.78, 4 Y 3.01

(4)
## YTeAu2 (GGA-PBEsol)

Data for a relaxed structure of YTeAu2.

Results
DFT total energy = -5.142 eV/atom
formation energy (no corrections) = -592 meV per atom

a b c (Å): 4.0032 4.5794 5.4386
angles (deg): 100.76 111.59 90.00
With the nearest neighbours (Å) after each atom.
Fractional coordinates of all 4 atoms:
Au: 0.9733 0.0770 0.9467  1 Au 2.74, 2 Te 2.97
Te: 0.5427 0.5639 0.0854  4 Au 2.78-2.97, 3 Y 2.93-3.03
Au: 0.7117 0.1551 0.4234  1 Au 2.74, 2 Te 2.78-2.90, 2 Y 3.03
Y: 0.2722 0.7040 0.5445  3 Te 2.93-3.03, 6 Au 3.03-3.18

(5)
## YTe2Au (GGA-PBEsol)

Data for a relaxed structure of YTe2Au.

Results
DFT total energy = -5.361 eV/atom
formation energy (no corrections) = -911 meV per atom

a b c (Å): 4.2246 7.6537 8.1981
angles (deg): 114.42 104.93 90.00
With the nearest neighbours (Å) after each atom.
Fractional coordinates of all 8 atoms:
Au: 0.9722 0.4365 0.9444  4 Te 2.70-2.86, 1 Y 2.99
Te: 0.7780 0.2528 0.5559  3 Au 2.72-2.78, 1 Y 3.04
Te: 0.5295 0.2596 0.0590  2 Au 2.86, 3 Y 2.98-3.12
Te: 0.2743 0.6879 0.5486  1 Au 2.77
Au: 0.2336 0.0054 0.4672  4 Te 2.72-2.92
Y: 0.6257 0.6898 0.2514  5 Te 2.98-3.17, 4 Au 3.11-3.18
Te: 0.0299 0.8234 0.0599  2 Au 2.70-2.92, 2 Y 3.02
Y: 0.8845 0.0038 0.7691  3 Au 2.99-3.19, 6 Te 3.04-3.15

(6)
## YTeAu2 (GGA-PBEsol)

Data for a relaxed structure of YTeAu2.

Results
DFT total energy = -5.169 eV/atom
formation energy (no corrections) = -620 meV per atom

a b c (Å): 4.3344 4.3382 5.4820
angles (deg): 113.24 113.29 90.00
With the nearest neighbours (Å) after each atom.
Fractional coordinates of all 4 atoms:
Au: 0.2502 0.2500 0.5004  4 Au 3.07, 4 Y 3.14, 4 Te 3.14-3.15
Y: 0.5000 0.0000 0.0000  4 Te 3.07, 8 Au 3.14
Te: 0.0000 0.5000 0.0000  4 Y 3.07, 8 Au 3.14-3.15
Au: 0.7498 0.7500 0.4996  4 Au 3.07, 4 Y 3.14, 4 Te 3.14-3.15